Here is a relaxed structure of LiPt2Cl from Alexandria via LeMat-Bulk. Energies are from PBE-GGA.

The value obtained for the spin magnetization is 0.0000 μB/atom. Its formation energy without anion corrections is 0.119 eV/atom. As for the energy above the most stable polymorph in this dataset: 0.453 eV per atom.

The space group is P4/mmm (No. 123) and the conventional cell measures 2.9717, 2.9717 and 6.8635 Å, with angles of 90.00, 90.00 and 90.00 degrees. Symmetry generates all atoms from Li at (0.0000, 0.0000, 0.0000), Pt at (0.5000, 0.5000, 0.2042) and Cl at (0.0000, 0.0000, 0.5000).

Here is a relaxed structure of CeErTlGa from Alexandria via LeMat-Bulk. Energies are from PBE-GGA.

The value obtained for the spin magnetization is 0.2189 μB/atom. As for the energy above the most stable polymorph in this dataset: 0.000 eV per atom.

The space group is P4mm (No. 99) and the conventional cell measures 3.4383, 3.4383 and 8.5137 Å, with angles of 90.00, 90.00 and 90.00 degrees. Symmetry generates all atoms from Ce at (0.0000, 0.0000, 0.0000), Er at (0.0000, 0.0000, 0.5445), Tl at (0.5000, 0.5000, 0.2793) and Ga at (0.5000, 0.5000, 0.7636).

Here is a relaxed structure of NaIn2Pb from Alexandria via LeMat-Bulk. Energies are from PBE-GGA.

As for the total DFT energy (no corrections): -2.706 eV/atom. The value obtained for the spin magnetization is 0.0000 μB/atom.

The space group is P4/mmm (No. 123) and the conventional cell measures 4.6566, 4.6566 and 5.0290 Å, with angles of 90.00, 90.00 and 90.00 degrees. Symmetry generates all atoms from Na at (0.0000, 0.0000, 0.0000), In at (0.0000, 0.5000, 0.5000) and Pb at (0.5000, 0.5000, 0.0000).

Question: spin magnetization of number 3 (NaIn2Pb)?
Answer: 0.0000 μB/atom

Question: What is the formula in the first record?
Answer: LiPt2Cl

Question: The highest spin magnetization belongs to which entry?
Answer: CeErTlGa

Question: The highest spin magnetization belongs to which entry?
Answer: CeErTlGa